No. 1
ZnFe2W after structural relaxation. Source: the Alexandria database, functional PBE.

The structure in POSCAR format:
```
ZnFe2W
1.0
5.1435 0.0015 0.0050
-2.3158 4.2857 0.0011
0.5118 0.7458 2.4198
Fe W Zn
2 1 1
Direct
0.0000 0.0000 0.0000
0.5000 0.0000 0.5000
0.0000 0.5000 0.5000
0.5000 0.5000 0.0000
```

Calculated values
The calculation puts the total energy at -30.238 eV for the cell shown. The crystal system is monoclinic. The space group is C2/m (12). As for the formation energy: 0.9 eV/f.u.



No. 2
ZnFe2W after structural relaxation. Source: the Alexandria database, functional PBE.

The structure in POSCAR format:
```
ZnFe2W
1.0
-2.0118 -1.0390 -6.2333
-1.0778 -6.3893 1.4129
-3.9808 -3.1502 -1.7180
Zn Fe W
2 4 2
Direct
0.5000 0.5000 0.0000
0.2500 0.7500 0.5000
0.6415 0.1250 0.2500
0.1085 0.6250 0.2500
0.3750 0.3585 0.7500
0.8750 0.8915 0.7500
0.0000 0.0000 0.0000
0.7500 0.2500 0.5000
```

Calculated values
The calculation puts the total energy at -56.333 eV for the cell shown. The crystal system is tetragonal. The space group is I-42d (122). As for the formation energy: 3.0 eV/f.u.



No. 3
Zn2FeW after structural relaxation. Source: the Alexandria database, functional PBE.

The structure in POSCAR format:
```
Zn2FeW
1.0
-2.9677 -3.0258 -2.3213
1.0488 -0.3954 -4.7005
1.9542 -0.6220 4.3756
Fe W Zn
1 1 2
Direct
0.5061 0.5061 0.0000
0.7359 0.2359 0.5000
0.0050 0.0050 0.0000
0.2530 0.7530 0.5000
```

Calculated values
The calculation puts the total energy at -22.754 eV for the cell shown. As for the excess energy over the best structure of this formula in the dataset: 199 meV/atom. The crystal system is orthorhombic. The space group is Imm2 (44). As for the formation energy: 1.2 eV/f.u.



No. 4
Zn2FeW after structural relaxation. Source: the Alexandria database, functional PBE.

The structure in POSCAR format:
```
Zn2FeW
1.0
2.6489 0.0000 0.0000
0.0000 2.6489 0.0000
0.0000 0.0000 8.0331
Fe W Zn
1 1 2
Direct
0.5000 0.5000 0.2500
0.5000 0.5000 0.7500
0.0000 0.0000 0.0143
0.0000 0.0000 0.4857
```

Calculated values
The calculation puts the total energy at -23.282 eV for the cell shown. As for the excess energy over the best structure of this formula in the dataset: 67 meV/atom. The crystal system is tetragonal. The space group is P4/mmm (123). As for the formation energy: 0.7 eV/f.u.